The following is a DFT calculation (PBE-GGA) of TbMnZnC after structural relaxation.

Cell lengths 3.411, 3.411, 10.488 Å; angles 90.00, 90.00, 90.00 degrees
Positions (direct):
Tb (0.250, 0.250, 0.232)
Tb (0.750, 0.750, 0.768)
Mn (0.250, 0.750, 0.000)
Mn (0.750, 0.250, 0.000)
Zn (0.250, 0.750, 0.500)
Zn (0.750, 0.250, 0.500)
C (0.250, 0.250, 0.890)
C (0.750, 0.750, 0.110)

The size of the total moment comes out at 1.12 μB/f.u. For the calculated formation energy, the calculation gives -54.0 kJ/mol of formula units. The crystal system is tetragonal. As for the space-group type: P4/nmm.



The following is a DFT calculation (PBE-GGA) of AcTlRh2 after structural relaxation.

Cell lengths 4.966, 4.966, 4.966 Å; angles 60.00, 60.00, 60.00 degrees
Positions (direct):
Ac (0.000, 0.000, 0.000)
Tl (0.500, 0.500, 0.500)
Rh (0.250, 0.250, 0.250)
Rh (0.750, 0.750, 0.750)

The size of the total moment comes out at 0.00 μB/f.u. For the calculated formation energy, the calculation gives -129.0 kJ/mol of formula units. The crystal system is cubic. As for the space-group type: Fm-3m.



The following is a DFT calculation (PBE-GGA) of Pr3Pa2TaN6 after structural relaxation.

Cell lengths 6.019, 6.019, 6.178 Å; angles 99.28, 99.28, 119.90 degrees
Positions (direct):
Pr (0.000, 0.000, 0.000)
Pr (0.335, 0.665, 0.000)
Pr (0.665, 0.335, 0.000)
Pa (0.166, 0.834, 0.500)
Pa (0.834, 0.166, 0.500)
Ta (0.500, 0.500, 0.500)
N (0.115, 0.434, 0.302)
N (0.249, 0.249, 0.704)
N (0.434, 0.115, 0.302)
N (0.566, 0.885, 0.698)
N (0.751, 0.751, 0.296)
N (0.885, 0.566, 0.698)

The value obtained for the energy relative to the elements, uncorrected is -1.44 eV per atom. The size of the total moment comes out at 0.00 μB/f.u. The crystal system is monoclinic. As for the space-group type: C2/m.



The following is a DFT calculation (PBE-GGA) of FeCu2Ag after structural relaxation.

Cell lengths 4.634, 4.634, 2.657 Å; angles 90.10, 90.10, 106.71 degrees
Positions (direct):
Fe (0.000, 0.000, 0.000)
Cu (0.000, 0.500, 0.500)
Cu (0.500, 0.000, 0.500)
Ag (0.500, 0.500, 0.000)

The size of the total moment comes out at 2.88 μB/f.u. For the calculated formation energy, the calculation gives 103.8 kJ/mol of formula units. The crystal system is monoclinic. As for the space-group type: C2/m.



The following is a DFT calculation (PBE-GGA) of TbYS2 after structural relaxation.

Cell lengths 3.780, 3.780, 7.067 Å; angles 90.00, 90.00, 120.00 degrees
Positions (direct):
Tb (0.000, 0.000, 0.000)
Y (0.000, 0.000, 0.500)
S (0.333, 0.667, 0.749)
S (0.667, 0.333, 0.251)

The value obtained for the energy relative to the elements, uncorrected is -1.89 eV per atom. The size of the total moment comes out at 0.00 μB/f.u. The crystal system is trigonal. As for the space-group type: P-3m1.



The following is a DFT calculation (PBE-GGA) of ScCoSbTe2 after structural relaxation.

Cell lengths 5.472, 5.472, 5.483 Å; angles 90.00, 90.00, 90.00 degrees
Positions (direct):
Sc (0.000, 0.000, 0.000)
Co (0.500, 0.500, 0.500)
Sb (0.000, 0.000, 0.500)
Te (0.000, 0.500, 0.000)
Te (0.500, 0.000, 0.000)

The value obtained for the energy relative to the elements, uncorrected is 0.61 eV per atom. The size of the total moment comes out at 2.42 μB/f.u. The crystal system is tetragonal. As for the space-group type: P4/mmm.



The following is a DFT calculation (PBE-GGA) of Mg2CrRe after structural relaxation.

Cell lengths 2.734, 4.258, 5.555 Å; angles 90.00, 101.08, 90.00 degrees
Positions (direct):
Mg (0.000, 0.000, 0.000)
Mg (0.290, 0.500, 0.729)
Cr (0.547, 0.000, 0.458)
Re (0.708, 0.500, 0.268)

The size of the total moment comes out at 0.00 μB/f.u. For the calculated formation energy, the calculation gives 115.3 kJ/mol of formula units. The crystal system is monoclinic. As for the space-group type: Pm.



The following is a DFT calculation (PBE-GGA) of SmDy2Zr after structural relaxation.

Cell lengths 5.516, 5.516, 5.516 Å; angles 60.00, 60.00, 60.00 degrees
Positions (direct):
Sm (0.000, 0.000, 0.000)
Dy (0.250, 0.250, 0.250)
Dy (0.750, 0.750, 0.750)
Zr (0.500, 0.500, 0.500)

The size of the total moment comes out at 1.97 μB/f.u. For the calculated formation energy, the calculation gives 87.8 kJ/mol of formula units. The crystal system is cubic. As for the space-group type: Fm-3m.



The following is a DFT calculation (PBE-GGA) of KCoHg2Bi after structural relaxation.

Cell lengths 5.241, 5.241, 5.002 Å; angles 90.00, 90.00, 90.00 degrees
Positions (direct):
K (0.000, 0.000, 0.000)
Co (0.500, 0.500, 0.500)
Hg (0.000, 0.500, 0.500)
Hg (0.500, 0.000, 0.500)
Bi (0.500, 0.500, 0.000)

The size of the total moment comes out at 0.53 μB/f.u. For the calculated formation energy, the calculation gives -0.4 kJ/mol of formula units. The crystal system is tetragonal. As for the space-group type: P4/mmm.



The following is a DFT calculation (PBE-GGA) of ZrBeOsBr2 after structural relaxation.

Cell lengths 4.995, 4.995, 5.162 Å; angles 90.00, 90.00, 90.00 degrees
Positions (direct):
Zr (0.000, 0.000, 0.000)
Be (0.500, 0.500, 0.000)
Os (0.000, 0.000, 0.500)
Br (0.000, 0.500, 0.500)
Br (0.500, 0.000, 0.500)

The value obtained for the energy relative to the elements, uncorrected is 1.11 eV per atom. The size of the total moment comes out at 0.62 μB/f.u. The crystal system is tetragonal. As for the space-group type: P4/mmm.



The following is a DFT calculation (PBE-GGA) of Ba2PrAgTe4 after structural relaxation.

Cell lengths 8.199, 4.735, 8.302 Å; angles 90.00, 110.58, 90.00 degrees
Positions (direct):
Ba (0.000, 0.000, 0.000)
Ba (0.000, 0.500, 0.500)
Pr (0.500, 0.000, 0.500)
Ag (0.500, 0.500, 0.000)
Te (0.272, 0.500, 0.264)
Te (0.289, 0.000, 0.766)
Te (0.711, 0.000, 0.234)
Te (0.728, 0.500, 0.736)

The value obtained for the energy relative to the elements, uncorrected is -1.27 eV per atom. The size of the total moment comes out at 0.00 μB/f.u. The crystal system is monoclinic. As for the space-group type: P2/m.



The following is a DFT calculation (PBE-GGA) of Ti3MnAg3Se8 after structural relaxation.

Cell lengths 7.336, 7.336, 8.152 Å; angles 116.77, 116.77, 60.02 degrees
Positions (direct):
Ti (0.000, 0.000, 0.000)
Ti (0.000, 0.500, 0.000)
Ti (0.500, 0.000, 0.000)
Mn (0.500, 0.500, 0.000)
Ag (0.000, 0.500, 0.500)
Ag (0.500, 0.000, 0.500)
Ag (0.500, 0.500, 0.500)
Se (0.239, 0.239, 0.217)
Se (0.241, 0.737, 0.216)
Se (0.262, 0.262, 0.784)
Se (0.263, 0.759, 0.784)
Se (0.737, 0.241, 0.216)
Se (0.738, 0.738, 0.216)
Se (0.759, 0.263, 0.784)
Se (0.761, 0.761, 0.783)

The value obtained for the energy relative to the elements, uncorrected is -0.64 eV per atom. The size of the total moment comes out at 5.80 μB/f.u. The crystal system is monoclinic. As for the space-group type: C2/m.